(1)
# MgW2Au

A geometry-optimized MgW2Au structure (GGA-PBE, Alexandria via LeMat-Bulk).

Geometry as POSCAR:
```
MgW2Au
1.0
4.8733 0.0013 0.0071
4.1113 2.6165 0.0071
0.4298 0.1252 5.3137
W Au Mg
2 1 1
Cartesian
2.2778 0.6637 1.1921
8.9786 2.6161 0.1067
4.7491 1.3838 2.7876
7.1006 2.0689 3.9198
```

Values from the calculation:
- calculated volume (Å³/atom) = 16.9
- density of states at the Fermi level (states/eV per atom) = 0.725
- spin magnetization (μB/atom) = 0.00

---

(2)
# MgWAu2

A geometry-optimized MgWAu2 structure (GGA-PBE, Alexandria via LeMat-Bulk).

Geometry as POSCAR:
```
MgWAu2
1.0
4.7993 0.0000 0.0000
0.0000 2.9054 -0.0022
0.0000 0.0034 4.9455
W Au Mg
1 2 1
Cartesian
2.3996 1.8182 4.0981
0.0000 0.3657 4.5642
2.3996 0.3648 1.6192
0.0000 1.8179 2.0790
```

Values from the calculation:
- calculated volume (Å³/atom) = 17.2
- density of states at the Fermi level (states/eV per atom) = 0.814
- spin magnetization (μB/atom) = 0.14

---

(3)
# Mg2WAu

A geometry-optimized Mg2WAu structure (GGA-PBE, Alexandria via LeMat-Bulk).

Geometry as POSCAR:
```
Mg2WAu
1.0
2.8656 0.0000 0.0000
0.0000 3.9805 0.0000
0.0000 0.0000 6.1318
Mg Au W
2 1 1
Cartesian
0.0000 0.0000 3.0735
0.0000 0.0000 6.1241
1.4328 1.9903 4.5988
1.4328 1.9903 1.5329
```

Values from the calculation:
- calculated volume (Å³/atom) = 17.5
- density of states at the Fermi level (states/eV per atom) = 0.994
- polymorph energy (0 for the lowest one) (meV/atom) = 204
- spin magnetization (μB/atom) = 0.00

---

(4)
# MgWAu2

A geometry-optimized MgWAu2 structure (GGA-PBE, Alexandria via LeMat-Bulk).

Geometry as POSCAR:
```
MgWAu2
1.0
4.7938 -0.0113 -0.0030
3.9816 2.6696 -0.0030
0.6990 0.2118 5.5123
Au Mg W
2 1 1
Cartesian
0.7029 0.2129 5.4647
4.7334 1.4339 2.8006
2.3686 0.7175 1.3765
7.1058 2.1526 4.1296
```

Values from the calculation:
- calculated volume (Å³/atom) = 17.7
- density of states at the Fermi level (states/eV per atom) = 0.637
- spin magnetization (μB/atom) = 0.00

---

no.,E_form (eV/atom)
1,0.342
2,0.113
3,0.223
4,0.254